First-principles (PBE) data for crystalline SiSn3As at its relaxed geometry, as listed in Alexandria.

Cell lengths 5.381, 5.381, 5.381 Å; angles 90.00, 90.00, 90.00 degrees
Sites, in units of the cell vectors:
Sn: 0.000 0.000 0.500
Sn: 0.000 0.500 0.000
Sn: 0.500 0.000 0.000
As: 0.000 0.000 0.000
Si: 0.500 0.500 0.500

Results
Magnetization, μB/atom: 0.000
Density, g/cm³: 4.89
ΔE to the lowest computed polymorph, meV/atom: 230
Energy, eV/atom: -3.622
Energy relative to the elements, uncorrected, kJ/mol of formula units: 383.2